{"formula": "Mg3BeNi9P2", "functional": "GGA-PBE", "state": "optimized geometry", "cell": [[5.827, 0.000, 0.000], [-2.914, 5.047, 0.000], [0.000, 0.000, 7.086]], "species": ["Mg", "Mg", "Mg", "Be", "Ni", "Ni", "Ni", "Ni", "Ni", "Ni", "Ni", "Ni", "Ni", "P", "P"], "fractional_positions": [[0.000, 0.000, 0.000], [0.333, 0.667, 0.650], [0.667, 0.333, 0.350], [0.000, 0.000, 0.500], [0.000, 0.500, 0.000], [0.143, 0.286, 0.299], [0.143, 0.857, 0.299], [0.286, 0.143, 0.701], [0.500, 0.000, 0.000], [0.500, 0.500, 0.000], [0.714, 0.857, 0.299], [0.857, 0.143, 0.701], [0.857, 0.714, 0.701], [0.333, 0.667, 0.192], [0.667, 0.333, 0.808]], "sg": "No. 164", "vol_a3_per_atom": 13.893, "e_form_ev_per_atom": -0.157, "e_tot_ev_per_fu": -73.7}

{"formula": "Mg2Be2NiPt5", "functional": "GGA-PBE", "state": "optimized geometry", "cell": [[9.282, 0.000, 0.000], [0.000, 9.282, 0.000], [0.000, 0.000, 3.272]], "species": ["Mg", "Mg", "Mg", "Mg", "Be", "Be", "Be", "Be", "Ni", "Ni", "Pt", "Pt", "Pt", "Pt", "Pt", "Pt", "Pt", "Pt", "Pt", "Pt"], "fractional_positions": [[0.175, 0.325, 0.000], [0.325, 0.825, 0.000], [0.675, 0.175, 0.000], [0.825, 0.675, 0.000], [0.126, 0.626, 0.000], [0.374, 0.126, 0.000], [0.626, 0.874, 0.000], [0.874, 0.374, 0.000], [0.000, 0.000, 0.000], [0.500, 0.500, 0.000], [0.000, 0.500, 0.500], [0.072, 0.793, 0.500], [0.207, 0.072, 0.500], [0.293, 0.572, 0.500], [0.428, 0.293, 0.500], [0.500, 0.000, 0.500], [0.572, 0.707, 0.500], [0.707, 0.428, 0.500], [0.793, 0.928, 0.500], [0.928, 0.207, 0.500]], "sg": "No. 127", "vol_a3_per_atom": 14.096, "e_form_ev_per_atom": -0.651, "e_tot_ev_per_fu": -53.1}

{"formula": "MgBeNiRh", "functional": "GGA-PBE", "state": "optimized geometry", "cell": [[0.000, 2.899, 2.899], [2.899, 0.000, 2.899], [2.899, 2.899, 0.000]], "species": ["Mg", "Be", "Ni", "Rh"], "fractional_positions": [[0.000, 0.000, 0.000], [0.500, 0.500, 0.500], [0.250, 0.250, 0.250], [0.750, 0.750, 0.750]], "sg": "No. 216", "vol_a3_per_atom": 12.181, "e_form_ev_per_atom": -0.326, "e_tot_ev_per_fu": -19.8}

{"formula": "MgScBeNi", "functional": "GGA-PBE", "state": "optimized geometry", "cell": [[0.000, 3.112, 3.112], [3.112, 0.000, 3.112], [3.112, 3.112, 0.000]], "species": ["Mg", "Sc", "Be", "Ni"], "fractional_positions": [[0.000, 0.000, 0.000], [0.500, 0.500, 0.500], [0.250, 0.250, 0.250], [0.750, 0.750, 0.750]], "sg": "No. 216", "vol_a3_per_atom": 15.064, "e_form_ev_per_atom": -0.128, "e_tot_ev_per_fu": -17.9}

{"formula": "Mg2BeSi2Ni5", "functional": "GGA-PBE", "state": "optimized geometry", "cell": [[9.386, 0.000, 0.000], [0.000, 9.386, 0.000], [0.000, 0.000, 2.818]], "species": ["Mg", "Mg", "Mg", "Mg", "Be", "Be", "Si", "Si", "Si", "Si", "Ni", "Ni", "Ni", "Ni", "Ni", "Ni", "Ni", "Ni", "Ni", "Ni"], "fractional_positions": [[0.171, 0.329, 0.000], [0.329, 0.829, 0.000], [0.671, 0.171, 0.000], [0.829, 0.671, 0.000], [0.000, 0.000, 0.000], [0.500, 0.500, 0.000], [0.134, 0.634, 0.000], [0.366, 0.134, 0.000], [0.634, 0.866, 0.000], [0.866, 0.366, 0.000], [0.000, 0.500, 0.500], [0.054, 0.811, 0.500], [0.189, 0.054, 0.500], [0.311, 0.554, 0.500], [0.446, 0.311, 0.500], [0.500, 0.000, 0.500], [0.554, 0.689, 0.500], [0.689, 0.446, 0.500], [0.811, 0.946, 0.500], [0.946, 0.189, 0.500]], "sg": "No. 127", "vol_a3_per_atom": 12.411, "raw_formation_energy_ev_per_fu": -3.417, "e_tot_ev_per_fu": -50.1}

{"formula": "SrMg2BeNi", "functional": "GGA-PBE", "state": "optimized geometry", "cell": [[4.741, 0.000, 0.000], [0.000, 4.741, 0.000], [0.000, 0.000, 5.549]], "species": ["Sr", "Mg", "Mg", "Be", "Ni"], "fractional_positions": [[0.000, 0.000, 0.000], [0.000, 0.500, 0.500], [0.500, 0.000, 0.500], [0.000, 0.000, 0.500], [0.500, 0.500, 0.000]], "sg": "No. 123", "vol_a3_per_atom": 24.941, "e_form_ev_per_atom": 0.595, "e_tot_ev_per_fu": -11.4}

{"formula": "MgTi2Be2Ni5", "functional": "GGA-PBE", "state": "optimized geometry", "cell": [[8.533, 0.000, 0.000], [0.000, 8.533, 0.000], [0.000, 0.000, 3.267]], "species": ["Mg", "Mg", "Ti", "Ti", "Ti", "Ti", "Be", "Be", "Be", "Be", "Ni", "Ni", "Ni", "Ni", "Ni", "Ni", "Ni", "Ni", "Ni", "Ni"], "fractional_positions": [[0.000, 0.000, 0.000], [0.500, 0.500, 0.000], [0.177, 0.323, 0.000], [0.323, 0.823, 0.000], [0.677, 0.177, 0.000], [0.823, 0.677, 0.000], [0.117, 0.617, 0.000], [0.383, 0.117, 0.000], [0.617, 0.883, 0.000], [0.883, 0.383, 0.000], [0.000, 0.500, 0.500], [0.071, 0.781, 0.500], [0.219, 0.071, 0.500], [0.281, 0.571, 0.500], [0.429, 0.281, 0.500], [0.500, 0.000, 0.500], [0.571, 0.719, 0.500], [0.719, 0.429, 0.500], [0.781, 0.929, 0.500], [0.929, 0.219, 0.500]], "sg": "No. 127", "vol_a3_per_atom": 11.894, "e_form_ev_per_atom": -0.335, "e_tot_ev_per_fu": -57.1}

{"formula": "MgZrBeNi", "functional": "GGA-PBE", "state": "optimized geometry", "cell": [[0.000, 3.112, 3.112], [3.112, 0.000, 3.112], [3.112, 3.112, 0.000]], "species": ["Mg", "Zr", "Be", "Ni"], "fractional_positions": [[0.000, 0.000, 0.000], [0.500, 0.500, 0.500], [0.250, 0.250, 0.250], [0.750, 0.750, 0.750]], "sg": "No. 216", "vol_a3_per_atom": 15.065, "e_form_ev_per_atom": -0.174, "e_tot_ev_per_fu": -20.3}